GGA-PBE Fe2BS, optimized geometry; formation energy without anion corrections = -18.7 kJ/mol of atoms; ΔE to the lowest computed polymorph = 34 meV per atom; uncorrected energy = -57.0 eV per cell; symmetry = Cmc2_1, No. 36; theoretical density = 6.259 Mg/m³
1.0
1.355 -6.292 0.000
1.355 6.292 0.000
0.000 0.000 4.808
Fe B S
4 2 2
Cartesian
1.355 5.542 2.404
1.355 4.433 0.019
1.355 -4.433 2.423
1.355 -5.542 0.000
1.355 0.571 3.254
1.355 -0.571 0.850
1.355 2.392 0.804
1.355 -2.392 3.209



GGA-PBE Fe2BS, optimized geometry; formation energy without anion corrections = -14.5 kJ/mol of atoms; ΔE to the lowest computed polymorph = 77 meV per atom; uncorrected energy = -56.7 eV per cell; symmetry = Cm, No. 8; theoretical density = 5.986 Mg/m³
1.0
4.891 -1.428 0.000
4.891 1.428 0.000
-3.675 0.000 6.138
Fe B S
4 2 2
Cartesian
0.000 0.000 0.000
0.734 0.000 2.590
2.559 0.000 0.765
3.380 0.000 3.184
7.060 0.000 2.287
8.707 0.000 1.690
2.726 0.000 5.440
5.312 0.000 4.158



GGA-PBE Fe2BS, optimized geometry; formation energy without anion corrections = 20.3 kJ/mol of atoms; ΔE to the lowest computed polymorph = 437 meV per atom; uncorrected energy = -53.8 eV per cell; symmetry = I-42d, No. 122; theoretical density = 5.092 Mg/m³
1.0
-2.343 2.343 4.590
2.343 -2.343 4.590
2.343 2.343 -4.590
Fe B S
4 2 2
Cartesian
3.515 1.007 -1.147
1.007 1.172 1.147
-1.172 1.336 3.442
1.336 1.172 5.737
0.000 0.000 0.000
0.000 2.343 2.295
2.343 0.000 2.295
0.000 0.000 4.590



GGA-PBE Fe2BS, optimized geometry; formation energy without anion corrections = -10.1 kJ/mol of atoms; ΔE to the lowest computed polymorph = 122 meV per atom; uncorrected energy = -28.1 eV per cell; symmetry = Amm2, No. 38; theoretical density = 6.181 Mg/m³
1.0
2.734 0.000 0.000
0.000 1.360 5.584
0.000 -1.360 5.584
Fe B S
2 1 1
Cartesian
0.000 0.000 0.000
1.367 0.000 2.241
0.000 0.000 7.231
1.367 0.000 4.407



GGA-PBE FeB2TeS, optimized geometry; formation energy without anion corrections = 94.3 kJ/mol of atoms; uncorrected energy = -24.2 eV per cell; symmetry = P4/mmm, No. 123; theoretical density = 5.344 Mg/m³
1.0
3.905 0.000 0.000
0.000 3.905 0.000
0.000 0.000 4.833
Fe B Te S
1 2 1 1
Cartesian
0.000 0.000 0.000
0.000 1.952 0.000
1.952 0.000 0.000
1.952 1.952 2.417
0.000 0.000 2.417



GGA-PBE Zn2FeBS, optimized geometry; formation energy without anion corrections = 79.2 kJ/mol of atoms; uncorrected energy = -17.7 eV per cell; symmetry = P4/mmm, No. 123; theoretical density = 4.625 Mg/m³
1.0
4.722 0.000 0.000
0.000 4.722 0.000
0.000 0.000 3.696
Zn Fe B S
2 1 1 1
Cartesian
0.000 2.361 0.000
2.361 0.000 0.000
0.000 0.000 0.000
0.000 0.000 1.848
2.361 2.361 1.848



GGA-PBE FeBSb2, optimized geometry; formation energy without anion corrections = 64.4 kJ/mol of atoms; uncorrected energy = -41.4 eV per cell; symmetry = I-42d, No. 122; theoretical density = 6.206 Mg/m³
1.0
-2.837 2.837 5.156
2.837 -2.837 5.156
2.837 2.837 -5.156
Fe B Sb
2 2 4
Cartesian
0.000 0.000 0.000
0.000 2.837 2.578
2.837 0.000 2.578
0.000 0.000 5.156
1.419 -1.264 3.867
1.573 1.419 1.289
1.419 4.101 -1.289
1.264 1.419 6.445



GGA-PBE Fe2BSb, optimized geometry; formation energy without anion corrections = 58.3 kJ/mol of atoms; ΔE to the lowest computed polymorph = 59 meV per atom; uncorrected energy = -25.3 eV per cell; symmetry = Fm-3m, No. 225; theoretical density = 8.654 Mg/m³
1.0
0.000 2.862 2.862
2.862 0.000 2.862
2.862 2.862 0.000
Fe B Sb
2 1 1
Cartesian
1.431 1.431 1.431
4.293 4.293 4.293
0.000 0.000 0.000
2.862 2.862 2.862